Entry 1:
This record from the Alexandria database describes a relaxed structure of NdEr4Bi5. The functional is GGA-PBE.

Cell lengths 11.849, 11.849, 11.849 Å; angles 158.21, 148.97, 38.24 degrees
Fractional positions:
Nd  0.000  0.000  0.000
Er  0.202  0.202  0.000
Er  0.400  0.400  0.000
Er  0.600  0.600  0.000
Er  0.798  0.798  0.000
Bi  0.104  0.604  0.500
Bi  0.301  0.801  0.500
Bi  0.500  0.000  0.500
Bi  0.699  0.199  0.500
Bi  0.896  0.396  0.500

## Properties
The calculation puts the calculated formation energy at -0.835 eV per atom.

=====

Entry 2:
This record from the Alexandria database describes a relaxed structure of TmScAl4. The functional is GGA-PBE.

Cell lengths 5.438, 5.438, 5.438 Å; angles 60.00, 60.00, 60.00 degrees
Fractional positions:
Tm  0.000  0.000  0.000
Sc  0.250  0.250  0.250
Al  0.125  0.625  0.625
Al  0.625  0.125  0.625
Al  0.625  0.625  0.125
Al  0.625  0.625  0.625

## Properties
The calculation puts the calculated formation energy at -0.488 eV per atom.

=====

Entry 3:
This record from the Alexandria database describes a relaxed structure of BaReOs. The functional is GGA-PBE.

Cell lengths 6.552, 6.552, 6.552 Å; angles 90.00, 90.00, 90.00 degrees
Fractional positions:
Ba  0.000  0.000  0.000
Ba  0.000  0.500  0.500
Ba  0.500  0.000  0.500
Ba  0.500  0.500  0.000
Re  0.250  0.250  0.750
Re  0.250  0.750  0.250
Re  0.750  0.250  0.250
Re  0.750  0.750  0.750
Os  0.250  0.250  0.250
Os  0.250  0.750  0.750
Os  0.750  0.250  0.750
Os  0.750  0.750  0.250

## Properties
The calculation puts the calculated formation energy at 2.995 eV per atom. The energy above the most stable polymorph in this dataset is 237.3 kJ per mole of atoms.

=====

Entry 4:
This record from the Alexandria database describes a relaxed structure of Pr2CI. The functional is GGA-PBE.

Cell lengths 3.906, 3.906, 23.697 Å; angles 90.00, 90.00, 120.00 degrees
Fractional positions:
Pr  0.000  0.000  0.000
Pr  0.000  0.000  0.217
Pr  0.333  0.667  0.667
Pr  0.333  0.667  0.884
Pr  0.667  0.333  0.333
Pr  0.667  0.333  0.550
C  0.000  0.000  0.609
C  0.333  0.667  0.276
C  0.667  0.333  0.942
I  0.000  0.000  0.441
I  0.333  0.667  0.108
I  0.667  0.333  0.774

## Properties
As for the uncorrected formation energy: -0.670 eV per atom.

=====

Entry 5:
This record from the Alexandria database describes a relaxed structure of DyPu3Pt8. The functional is GGA-PBE.

Cell lengths 9.439, 9.439, 9.439 Å; angles 33.55, 33.55, 33.55 degrees
Fractional positions:
Dy  0.000  0.000  0.000
Pu  0.126  0.126  0.126
Pu  0.498  0.498  0.498
Pu  0.622  0.622  0.622
Pt  0.060  0.561  0.561
Pt  0.062  0.062  0.563
Pt  0.062  0.563  0.062
Pt  0.311  0.311  0.311
Pt  0.561  0.060  0.561
Pt  0.561  0.561  0.060
Pt  0.563  0.062  0.062
Pt  0.811  0.811  0.811

## Properties
The calculation puts the calculated formation energy at -0.913 eV per atom.

=====

Entry 6:
This record from the Alexandria database describes a relaxed structure of KCoSeN2. The functional is GGA-PBE.

Cell lengths 3.887, 3.887, 5.076 Å; angles 90.00, 90.00, 90.00 degrees
Fractional positions:
K  0.000  0.000  0.000
Co  0.500  0.500  0.500
Se  0.500  0.500  0.000
N  0.000  0.500  0.500
N  0.500  0.000  0.500

## Properties
As for the uncorrected formation energy: 0.998 eV per atom. The energy above the most stable polymorph in this dataset is 0.0 kJ per mole of atoms.

=====

Entry 7:
This record from the Alexandria database describes a relaxed structure of Ho3HfZn4. The functional is GGA-PBE.

Cell lengths 3.478, 3.478, 14.025 Å; angles 90.00, 90.00, 90.00 degrees
Fractional positions:
Ho  0.000  0.000  0.000
Ho  0.000  0.000  0.259
Ho  0.000  0.000  0.741
Hf  0.000  0.000  0.500
Zn  0.500  0.500  0.129
Zn  0.500  0.500  0.393
Zn  0.500  0.500  0.607
Zn  0.500  0.500  0.871

## Properties
The calculation puts the calculated formation energy at -0.283 eV per atom.

=====

Entry 8:
This record from the Alexandria database describes a relaxed structure of Hf2ZrBiS. The functional is GGA-PBE.

Cell lengths 5.418, 5.418, 5.156 Å; angles 90.00, 90.00, 90.00 degrees
Fractional positions:
Hf  0.000  0.500  0.000
Hf  0.500  0.000  0.000
Zr  0.000  0.000  0.500
Bi  0.500  0.500  0.000
S  0.500  0.500  0.500

## Properties
As for the uncorrected formation energy: 1.308 eV per atom. The energy above the most stable polymorph in this dataset is 65.7 kJ per mole of atoms.

=====

Entry 9:
This record from the Alexandria database describes a relaxed structure of Ag3Ir. The functional is GGA-PBE.

Cell lengths 4.718, 5.803, 4.945 Å; angles 90.00, 90.00, 90.00 degrees
Fractional positions:
Ag  0.250  0.001  0.172
Ag  0.250  0.499  0.172
Ag  0.250  0.750  0.661
Ag  0.750  0.250  0.339
Ag  0.750  0.501  0.828
Ag  0.750  0.999  0.828
Ir  0.250  0.250  0.677
Ir  0.750  0.750  0.323

## Properties
The calculation puts the calculated formation energy at 0.452 eV per atom.

=====

Entry 10:
This record from the Alexandria database describes a relaxed structure of TlSbHS2. The functional is GGA-PBE.

Cell lengths 6.339, 4.557, 8.928 Å; angles 90.00, 95.15, 90.00 degrees
Fractional positions:
Tl  0.000  0.228  0.250
Tl  0.000  0.772  0.750
Sb  0.500  0.484  0.250
Sb  0.500  0.516  0.750
H  0.500  0.000  0.000
H  0.500  0.000  0.500
S  0.305  0.175  0.572
S  0.305  0.825  0.072
S  0.695  0.175  0.928
S  0.695  0.825  0.428

## Properties
As for the raw total energy: -3.6912 eV per atom.

=====

Entry 11:
This record from the Alexandria database describes a relaxed structure of Sm2YMg3. The functional is GGA-PBE.

Cell lengths 3.829, 3.829, 11.509 Å; angles 90.00, 90.00, 90.00 degrees
Fractional positions:
Sm  0.000  0.000  0.168
Sm  0.000  0.000  0.832
Y  0.000  0.000  0.500
Mg  0.500  0.500  0.000
Mg  0.500  0.500  0.337
Mg  0.500  0.500  0.663

## Properties
The calculation puts the calculated formation energy at -0.102 eV per atom.

=====

Entry 12:
This record from the Alexandria database describes a relaxed structure of BaNb6Se12. The functional is GGA-PBE.

Cell lengths 7.865, 7.865, 7.865 Å; angles 106.94, 106.94, 106.94 degrees
Fractional positions:
Ba  0.000  0.000  0.000
Nb  0.291  0.291  0.699
Nb  0.291  0.699  0.291
Nb  0.301  0.709  0.709
Nb  0.699  0.291  0.291
Nb  0.709  0.301  0.709
Nb  0.709  0.709  0.301
Se  0.120  0.500  0.880
Se  0.120  0.880  0.500
Se  0.130  0.398  0.398
Se  0.398  0.130  0.398
Se  0.398  0.398  0.130
Se  0.500  0.120  0.880
Se  0.500  0.880  0.120
Se  0.602  0.602  0.870
Se  0.602  0.870  0.602
Se  0.870  0.602  0.602
Se  0.880  0.120  0.500
Se  0.880  0.500  0.120

## Properties
As for the uncorrected formation energy: -0.573 eV per atom.

=====

Entry 13:
This record from the Alexandria database describes a relaxed structure of Pu2Fe2P2C. The functional is GGA-PBE.

Cell lengths 10.464, 3.762, 6.423 Å; angles 90.00, 123.30, 90.00 degrees
Fractional positions:
Pu  0.053  0.000  0.307
Pu  0.447  0.500  0.693
Pu  0.553  0.500  0.307
Pu  0.947  0.000  0.693
Fe  0.195  0.500  0.080
Fe  0.305  0.000  0.920
Fe  0.695  0.000  0.080
Fe  0.805  0.500  0.920
P  0.189  0.500  0.727
P  0.311  0.000  0.273
P  0.689  0.000  0.727
P  0.811  0.500  0.273
C  0.000  0.500  0.000
C  0.500  0.000  0.000

## Properties
The calculation puts the calculated formation energy at -0.732 eV per atom.

=====

Entry 14:
This record from the Alexandria database describes a relaxed structure of NbReH2. The functional is GGA-PBE.

Cell lengths 5.422, 5.422, 5.422 Å; angles 90.00, 90.00, 90.00 degrees
Fractional positions:
Nb  0.000  0.000  0.000
Nb  0.000  0.500  0.500
Nb  0.500  0.000  0.500
Nb  0.500  0.500  0.000
Re  0.000  0.000  0.500
Re  0.000  0.500  0.000
Re  0.500  0.000  0.000
Re  0.500  0.500  0.500
H  0.250  0.250  0.250
H  0.250  0.250  0.750
H  0.250  0.750  0.250
H  0.250  0.750  0.750
H  0.750  0.250  0.250
H  0.750  0.250  0.750
H  0.750  0.750  0.250
H  0.750  0.750  0.750

## Properties
The energy above the most stable polymorph in this dataset is 58.6 kJ per mole of atoms.

=====

Entry 15:
This record from the Alexandria database describes a relaxed structure of Pm4Pr3Tm4. The functional is GGA-PBE.

Cell lengths 20.067, 20.067, 20.067 Å; angles 169.64, 165.45, 17.89 degrees
Fractional positions:
Pm  0.046  0.046  0.000
Pm  0.316  0.316  0.000
Pm  0.684  0.684  0.000
Pm  0.954  0.954  0.000
Pr  0.137  0.137  0.000
Pr  0.500  0.500  0.000
Pr  0.863  0.863  0.000
Tm  0.228  0.228  0.000
Tm  0.408  0.408  0.000
Tm  0.592  0.592  0.000
Tm  0.772  0.772  0.000

## Properties
The calculation puts the calculated formation energy at 0.020 eV per atom. The energy above the most stable polymorph in this dataset is 0.0 kJ per mole of atoms.

=====

Entry 16:
This record from the Alexandria database describes a relaxed structure of CoTc2Au. The functional is GGA-PBE.

Cell lengths 3.877, 3.877, 7.637 Å; angles 90.00, 90.00, 90.00 degrees
Fractional positions:
Co  0.000  0.000  0.000
Co  0.500  0.500  0.500
Tc  0.000  0.000  0.500
Tc  0.000  0.500  0.250
Tc  0.500  0.000  0.750
Tc  0.500  0.500  0.000
Au  0.000  0.500  0.750
Au  0.500  0.000  0.250

## Properties
The calculation puts the calculated formation energy at 0.270 eV per atom. The energy above the most stable polymorph in this dataset is 6.2 kJ per mole of atoms.

=====

Entry 17:
This record from the Alexandria database describes a relaxed structure of Fe2BP. The functional is GGA-PBE.

Cell lengths 4.725, 4.725, 9.109 Å; angles 90.00, 90.00, 90.00 degrees
Fractional positions:
Fe  0.209  0.250  0.125
Fe  0.250  0.709  0.375
Fe  0.250  0.791  0.875
Fe  0.291  0.250  0.625
Fe  0.709  0.750  0.625
Fe  0.750  0.209  0.875
Fe  0.750  0.291  0.375
Fe  0.791  0.750  0.125
B  0.000  0.000  0.000
B  0.000  0.500  0.250
B  0.500  0.000  0.750
B  0.500  0.500  0.500
P  0.000  0.000  0.500
P  0.000  0.500  0.750
P  0.500  0.000  0.250
P  0.500  0.500  0.000

## Properties
The calculation puts the calculated formation energy at 0.346 eV per atom. The energy above the most stable polymorph in this dataset is 45.4 kJ per mole of atoms.

=====

Entry 18:
This record from the Alexandria database describes a relaxed structure of Fe2TcAs. The functional is GGA-PBE.

Cell lengths 4.966, 7.687, 2.798 Å; angles 90.00, 90.00, 90.00 degrees
Fractional positions:
Fe  0.250  0.250  0.000
Fe  0.250  0.750  0.000
Fe  0.750  0.250  0.000
Fe  0.750  0.750  0.000
Tc  0.000  0.000  0.500
Tc  0.500  0.500  0.500
As  0.000  0.500  0.500
As  0.500  0.000  0.500

## Properties
The calculation puts the calculated formation energy at 0.147 eV per atom. The energy above the most stable polymorph in this dataset is 10.4 kJ per mole of atoms.

=====

Entry 19:
This record from the Alexandria database describes a relaxed structure of AlCu3Au6. The functional is GGA-PBE.

Cell lengths 8.451, 4.187, 9.160 Å; angles 90.00, 97.38, 90.00 degrees
Fractional positions:
Al  0.064  0.250  0.390
Al  0.936  0.750  0.610
Cu  0.252  0.250  0.004
Cu  0.348  0.750  0.807
Cu  0.448  0.250  0.602
Cu  0.552  0.750  0.398
Cu  0.652  0.250  0.193
Cu  0.748  0.750  0.996
Au  0.059  0.750  0.898
Au  0.151  0.250  0.694
Au  0.159  0.750  0.203
Au  0.248  0.750  0.513
Au  0.374  0.250  0.310
Au  0.463  0.750  0.100
Au  0.537  0.250  0.900
Au  0.626  0.750  0.690
Au  0.752  0.250  0.487
Au  0.841  0.250  0.797
Au  0.849  0.750  0.306
Au  0.941  0.250  0.102

## Properties
The calculation puts the calculated formation energy at -0.097 eV per atom. The energy above the most stable polymorph in this dataset is 0.0 kJ per mole of atoms.

=====

Entry 20:
This record from the Alexandria database describes a relaxed structure of BaCd3As3. The functional is GGA-PBE.

Cell lengths 7.519, 7.519, 7.519 Å; angles 90.00, 90.00, 90.00 degrees
Fractional positions:
Ba  0.000  0.000  0.000
Ba  0.500  0.500  0.500
Cd  0.000  0.250  0.500
Cd  0.000  0.750  0.500
Cd  0.250  0.500  0.000
Cd  0.500  0.000  0.250
Cd  0.500  0.000  0.750
Cd  0.750  0.500  0.000
As  0.000  0.500  0.250
As  0.000  0.500  0.750
As  0.250  0.000  0.500
As  0.500  0.250  0.000
As  0.500  0.750  0.000
As  0.750  0.000  0.500

## Properties
The calculation puts the calculated formation energy at -0.310 eV per atom. The energy above the most stable polymorph in this dataset is 6.7 kJ per mole of atoms.

=====

Entry 21:
This record from the Alexandria database describes a relaxed structure of RbTl2AsS4. The functional is GGA-PBE.

Cell lengths 8.320, 8.320, 8.320 Å; angles 120.42, 119.97, 89.67 degrees
Fractional positions:
Rb  0.000  0.000  0.000
Rb  0.500  0.000  0.500
Tl  0.000  0.500  0.500
Tl  0.500  0.000  0.000
Tl  0.500  0.500  0.000
Tl  0.500  0.500  0.500
As  0.000  0.000  0.500
As  0.000  0.500  0.000
S  0.197  0.736  0.462
S  0.226  0.264  0.962
S  0.229  0.261  0.532
S  0.229  0.697  0.968
S  0.771  0.303  0.032
S  0.771  0.739  0.468
S  0.774  0.736  0.038
S  0.803  0.264  0.538

## Properties
As for the uncorrected formation energy: -0.282 eV per atom.

=====

Entry 22:
This record from the Alexandria database describes a relaxed structure of BaCoCl. The functional is GGA-PBE.

Cell lengths 5.399, 6.168, 9.578 Å; angles 90.00, 90.00, 90.00 degrees
Fractional positions:
Ba  0.250  0.250  0.085
Ba  0.250  0.750  0.585
Ba  0.750  0.250  0.415
Ba  0.750  0.750  0.915
Co  0.000  0.250  0.750
Co  0.000  0.750  0.250
Co  0.500  0.250  0.750
Co  0.500  0.750  0.250
Cl  0.249  0.250  0.576
Cl  0.251  0.750  0.076
Cl  0.749  0.250  0.924
Cl  0.751  0.750  0.424

## Properties
As for the uncorrected formation energy: -0.452 eV per atom. The energy above the most stable polymorph in this dataset is 41.1 kJ per mole of atoms.

=====

Entry 23:
This record from the Alexandria database describes a relaxed structure of ZrTiNi2. The functional is GGA-PBE.

Cell lengths 4.190, 4.190, 12.339 Å; angles 90.00, 90.00, 120.00 degrees
Fractional positions:
Zr  0.000  0.000  0.000
Zr  0.333  0.667  0.667
Zr  0.667  0.333  0.333
Ti  0.000  0.000  0.500
Ti  0.333  0.667  0.167
Ti  0.667  0.333  0.833
Ni  0.000  0.000  0.216
Ni  0.000  0.000  0.784
Ni  0.333  0.667  0.450
Ni  0.333  0.667  0.883
Ni  0.667  0.333  0.117
Ni  0.667  0.333  0.550

## Properties
The calculation puts the calculated formation energy at -0.369 eV per atom. The energy above the most stable polymorph in this dataset is 5.0 kJ per mole of atoms.

=====

Entry 24:
This record from the Alexandria database describes a relaxed structure of Zn5CdPd2. The functional is GGA-PBE.

Cell lengths 2.880, 8.565, 10.229 Å; angles 90.00, 90.00, 90.00 degrees
Fractional positions:
Zn  0.000  0.000  0.000
Zn  0.000  0.279  0.365
Zn  0.000  0.279  0.635
Zn  0.000  0.721  0.365
Zn  0.000  0.721  0.635
Zn  0.500  0.221  0.135
Zn  0.500  0.221  0.865
Zn  0.500  0.500  0.500
Zn  0.500  0.779  0.135
Zn  0.500  0.779  0.865
Cd  0.000  0.500  0.000
Cd  0.500  0.000  0.500
Pd  0.000  0.000  0.258
Pd  0.000  0.000  0.742
Pd  0.500  0.500  0.242
Pd  0.500  0.500  0.758

## Properties
The calculation puts the calculated formation energy at -0.258 eV per atom.

=====

Respective density of states at the Fermi level values: 1.968; 5.138; 5.238; 2.230; 33.049; 4.182; 7.956; 6.122; 4.893; 1.576; 7.694; 13.310; 15.411; 2.009; 14.432; 5.058; 0.007; 4.326; 2.898; 2.684; 0.049; 1.471; 3.007; 2.319 states/eV/f.u..
Respective M_tot values: 0.00; 0.00; 5.37; 0.00; 15.79; 0.78; 0.00; 0.00; 0.00; 0.00; 0.00; 0.00; 21.55; 0.00; 0.00; 2.85; 0.00; 8.87; 0.00; 0.00; 0.00; 1.25; 0.00; 0.00 Bohr magnetons per cell.